Compound: TlSi2Cl
Source: Alexandria via LeMat-Bulk
Functional: SCAN
Structure: PBEsol geometry

Lattice parameters (Å, degrees): 3.089 5.306 9.681 90.00 90.00 90.00
Atoms (fractional coordinates):
Tl 0.000 0.000 0.000
Tl 0.500 0.500 0.000
Si 0.000 0.500 0.280
Si 0.000 0.500 0.720
Si 0.500 0.000 0.280
Si 0.500 0.000 0.720
Cl 0.000 0.000 0.500
Cl 0.500 0.500 0.500

Values from the calculation:
Energy relative to the elements, uncorrected: 600 meV per atom
SG: No. 65
Mass density: 6.2 Mg/m³



Compound: TlSiCl2
Source: Alexandria via LeMat-Bulk
Functional: SCAN
Structure: PBEsol geometry

Lattice parameters (Å, degrees): 5.017 5.017 7.076 90.00 90.00 90.00
Atoms (fractional coordinates):
Tl 0.000 0.000 0.000
Tl 0.500 0.500 0.500
Si 0.000 0.000 0.500
Si 0.500 0.500 0.000
Cl 0.000 0.500 0.250
Cl 0.000 0.500 0.750
Cl 0.500 0.000 0.250
Cl 0.500 0.000 0.750

Values from the calculation:
Energy relative to the elements, uncorrected: 1 meV per atom
SG: No. 139
Mass density: 5.7 Mg/m³